Record 1
The following is a PBE calculation of a relaxed structure of La3Pr2Ga3, from Alexandria.

Geometry as CIF:
```
data_La3Pr2Ga3
_cell_length_a 3.8352
_cell_length_b 5.3970
_cell_length_c 22.6593
_cell_angle_alpha 90.00
_cell_angle_beta 90.00
_cell_angle_gamma 90.00
_symmetry_space_group_name_H-M 'I m m m'
_symmetry_Int_Tables_number 71
_symmetry_space_group_name_Hall '-I 2 2'
loop_
_atom_site_label
_atom_site_type_symbol
_atom_site_fract_x
_atom_site_fract_y
_atom_site_fract_z
La1 La 0.0000 0.0000 0.0000
La2 La 0.0000 0.5000 0.1149
Pr1 Pr 0.0000 0.0000 0.2267
Ga1 Ga 0.0000 0.0000 0.5000
Ga2 Ga 0.0000 0.5000 0.3821
```

Record 2
The following is a PBE calculation of a relaxed structure of LaPr2Ga4, from Alexandria.

Geometry as CIF:
```
data_LaPr2Ga4
_cell_length_a 4.2604
_cell_length_b 4.4791
_cell_length_c 18.9779
_cell_angle_alpha 90.00
_cell_angle_beta 90.00
_cell_angle_gamma 90.00
_symmetry_space_group_name_H-M 'I m m m'
_symmetry_Int_Tables_number 71
_symmetry_space_group_name_Hall '-I 2 2'
loop_
_atom_site_label
_atom_site_type_symbol
_atom_site_fract_x
_atom_site_fract_y
_atom_site_fract_z
La1 La 0.0000 0.0000 0.0000
Pr1 Pr 0.0000 0.5000 0.3158
Ga1 Ga 0.0000 0.0000 0.4339
Ga2 Ga 0.0000 0.5000 0.1420
```

Number 1: DFT total energy -36.737 eV per formula unit, calculated formation energy -0.414 eV/atom. Number 2: DFT total energy -31.062 eV per formula unit, calculated formation energy -0.638 eV/atom.